Below is an optimized crystal structure of SrTlAsSe2, with properties calculated at the GGA-PBE level.

```
SrTlAsSe2
1.0
5.520 0.000 0.000
0.000 5.520 0.000
0.000 0.000 5.228
Sr Tl As Se
1 1 1 2
direct
0.000 0.000 0.000
0.500 0.500 0.500
0.500 0.500 0.000
0.000 0.500 0.500
0.500 0.000 0.500
```

SG: No. 123
E_form (uncorrected): -0.159 eV/atom
total magnetic moment: 0.98 μB/cell
DFT total energy: -16.46 eV/cell
D(E_F): 4.5 states/eV/cell